# ScTlTe2

Crystalline ScTlTe2 at its relaxed geometry (PBEsol, Alexandria via LeMat-Bulk).

## Properties
E_tot   -4.736 eV per atom
Density of states at the Fermi level   0.07 states/eV per atom
Uncorrected formation energy   -0.664 eV/atom

a = 4.105 Å, b = 4.537 Å, c = 6.060 Å
α = 90.00°, β = 109.79°, γ = 90.00°
Positions (direct):
Te 0.022 0.000 0.919
Te 0.747 0.500 0.369
Sc 0.453 0.500 0.782
Tl 0.278 0.000 0.430